This record from Alexandria via LeMat-Bulk describes Tb3Er3Th2 after structural relaxation. The functional is PBE.

Output
Calculated formation energy   0.034 eV/atom
V   252.6 Å³/f.u.
Total DFT energy (no corrections)   -0.19363 hartree per atom
SG   C2/m

The structure in POSCAR format:
```
Tb3Er3Th2
1.0
3.5666 -7.1041 0.0000
3.5666 7.1041 0.0000
-3.5655 0.0000 4.9849
Tb Er Th
3 3 2
Direct
0.0000 0.0000 0.0000 Tb
0.3718 0.6282 0.5000 Tb
0.6282 0.3718 0.5000 Tb
0.1267 0.8733 0.5000 Er
0.5000 0.5000 0.0000 Er
0.8733 0.1267 0.5000 Er
0.2510 0.7490 0.0000 Th
0.7490 0.2510 0.0000 Th
```